A plane-wave DFT calculation with PBE+U was carried out for crystalline BaNdCrO4 at its relaxed geometry.

space group: I4mm
crystal system: tetragonal
energy: -7.50 eV per atom

a = 6.977 Å, b = 6.977 Å, c = 6.977 Å
α = 146.95°, β = 146.95°, γ = 47.43°
Fractional coordinates of all 7 atoms:
Ba 0.000 0.000 0.000
Nd 0.717 0.717 0.000
Cr 0.354 0.354 0.000
O 0.197 0.197 0.000
O 0.340 0.840 0.500
O 0.529 0.529 0.000
O 0.840 0.340 0.500